HoHfSc2As4: relaxed, PBE-GGA.

Geometry as CIF:
```
data_HoHfSc2As4
_chemical_formula_sum 'Ho1 Hf1 Sc2 As4'
_cell_length_a 6.761
_cell_length_b 3.918
_cell_length_c 6.790
_cell_angle_alpha 90.00
_cell_angle_beta 109.34
_cell_angle_gamma 90.00
_space_group_name_H-M_alt 'P 1 2/m 1'
_space_group_IT_number 10
_space_group_name_Hall '-P 2y'
loop_
_atom_site_label
_atom_site_fract_x
_atom_site_fract_y
_atom_site_fract_z
_atom_site_occupancy
Ho1 0.000 0.000 0.000 1
Hf1 0.000 0.500 0.500 1
Sc1 0.500 0.000 0.500 1
Sc2 0.500 0.500 0.000 1
As1 0.253 0.000 0.743 1
As2 0.258 0.500 0.261 1
```

=====

Sm2HoHfAs4: relaxed, PBE-GGA.

Geometry as CIF:
```
data_Sm2HoHfAs4
_chemical_formula_sum 'Sm2 Ho1 Hf1 As4'
_cell_length_a 7.058
_cell_length_b 4.073
_cell_length_c 7.069
_cell_angle_alpha 90.00
_cell_angle_beta 109.26
_cell_angle_gamma 90.00
_space_group_name_H-M_alt 'P 1 2/m 1'
_space_group_IT_number 10
_space_group_name_Hall '-P 2y'
loop_
_atom_site_label
_atom_site_fract_x
_atom_site_fract_y
_atom_site_fract_z
_atom_site_occupancy
Sm1 0.000 0.000 0.000 1
Sm2 0.500 0.500 0.000 1
Ho1 0.000 0.500 0.500 1
Hf1 0.500 0.000 0.500 1
As1 0.254 0.000 0.736 1
As2 0.264 0.500 0.269 1
```

=====

SmHo2HfAs4: relaxed, PBE-GGA.

Geometry as CIF:
```
data_SmHo2HfAs4
_chemical_formula_sum 'Sm1 Ho2 Hf1 As4'
_cell_length_a 7.009
_cell_length_b 4.048
_cell_length_c 7.020
_cell_angle_alpha 90.00
_cell_angle_beta 109.25
_cell_angle_gamma 90.00
_space_group_name_H-M_alt 'P 1 2/m 1'
_space_group_IT_number 10
_space_group_name_Hall '-P 2y'
loop_
_atom_site_label
_atom_site_fract_x
_atom_site_fract_y
_atom_site_fract_z
_atom_site_occupancy
Sm1 0.000 0.000 0.000 1
Ho1 0.500 0.000 0.500 1
Ho2 0.500 0.500 0.000 1
Hf1 0.000 0.500 0.500 1
As1 0.240 0.000 0.735 1
As2 0.248 0.500 0.262 1
```

=====

Tb2HoHfAs4: relaxed, PBE-GGA.

Geometry as CIF:
```
data_Tb2HoHfAs4
_chemical_formula_sum 'Tb2 Ho1 Hf1 As4'
_cell_length_a 6.996
_cell_length_b 4.036
_cell_length_c 6.999
_cell_angle_alpha 90.00
_cell_angle_beta 109.27
_cell_angle_gamma 90.00
_space_group_name_H-M_alt 'P 1 2/m 1'
_space_group_IT_number 10
_space_group_name_Hall '-P 2y'
loop_
_atom_site_label
_atom_site_fract_x
_atom_site_fract_y
_atom_site_fract_z
_atom_site_occupancy
Tb1 0.000 0.000 0.000 1
Tb2 0.500 0.500 0.000 1
Ho1 0.000 0.500 0.500 1
Hf1 0.500 0.000 0.500 1
As1 0.255 0.000 0.741 1
As2 0.263 0.500 0.264 1
```

=====

TbHo2HfAs4: relaxed, PBE-GGA.

Geometry as CIF:
```
data_TbHo2HfAs4
_chemical_formula_sum 'Tb1 Ho2 Hf1 As4'
_cell_length_a 6.979
_cell_length_b 4.027
_cell_length_c 6.982
_cell_angle_alpha 90.00
_cell_angle_beta 109.26
_cell_angle_gamma 90.00
_space_group_name_H-M_alt 'P 1 2/m 1'
_space_group_IT_number 10
_space_group_name_Hall '-P 2y'
loop_
_atom_site_label
_atom_site_fract_x
_atom_site_fract_y
_atom_site_fract_z
_atom_site_occupancy
Tb1 0.000 0.000 0.000 1
Ho1 0.500 0.000 0.500 1
Ho2 0.500 0.500 0.000 1
Hf1 0.000 0.500 0.500 1
As1 0.239 0.000 0.737 1
As2 0.245 0.500 0.258 1
```

=====

HoTm2HfAs4: relaxed, PBE-GGA.

Geometry as CIF:
```
data_HoTm2HfAs4
_chemical_formula_sum 'Ho1 Tm2 Hf1 As4'
_cell_length_a 6.930
_cell_length_b 3.998
_cell_length_c 6.933
_cell_angle_alpha 90.00
_cell_angle_beta 109.27
_cell_angle_gamma 90.00
_space_group_name_H-M_alt 'P 1 2/m 1'
_space_group_IT_number 10
_space_group_name_Hall '-P 2y'
loop_
_atom_site_label
_atom_site_fract_x
_atom_site_fract_y
_atom_site_fract_z
_atom_site_occupancy
Ho1 0.000 0.000 0.000 1
Tm1 0.500 0.000 0.500 1
Tm2 0.500 0.500 0.000 1
Hf1 0.000 0.500 0.500 1
As1 0.241 0.000 0.739 1
As2 0.246 0.500 0.257 1
```

=====

The records above give, respectively, energy of formation values of -1.3233 -1.3939 -1.3799 -1.4026 -1.3945 -1.3822 eV per atom.
The records above give, respectively, DOS at the Fermi energy values of 0.16 0.18 0.17 0.17 0.17 0.16 states/eV/atom.